LiCaLa2H: optimized geometry, GGA-PBE.

abc: 4.997 4.997 5.536
angles: 90.00 90.00 90.00
Fractional coordinates of all 5 atoms:
H (0.000, 0.000, 0.000)
Ca (0.000, 0.000, 0.500)
Li (0.500, 0.500, 0.500)
La (0.000, 0.500, 0.000)
La (0.500, 0.000, 0.000)

Output
As for the energy above the most stable polymorph in this dataset: 0.0 kJ/mol of atoms. For the spin magnetization, the calculation gives 0.000 μB per cell. As for the calculated total energy: -17.4 eV for the cell shown. As for the space group: P4/mmm, No. 123.

***

Ca5CuO6: optimized geometry, GGA-PBE.

abc: 5.756 5.766 5.869
angles: 60.58 81.55 72.60
Fractional coordinates of all 12 atoms:
Ca (0.500, 0.164, 0.672)
Ca (0.000, 0.330, 0.340)
Ca (0.500, 0.500, 0.000)
Ca (0.000, 0.670, 0.660)
Ca (0.500, 0.836, 0.328)
Cu (0.000, 0.000, 0.000)
O (0.741, 0.092, 0.335)
O (0.259, 0.573, 0.335)
O (0.224, 0.227, 0.000)
O (0.776, 0.773, 0.000)
O (0.741, 0.427, 0.665)
O (0.259, 0.908, 0.665)

Output
For the spin magnetization, the calculation gives 1.006 μB per cell. As for the calculated total energy: -73.6 eV for the cell shown. As for the space group: C2/m, No. 12. The energy relative to the elements, uncorrected is -57.10 kcal/mol of atoms.

***

TlSnF5: optimized geometry, GGA-PBE.

abc: 5.767 5.767 8.090
angles: 91.46 91.46 90.63
Fractional coordinates of all 14 atoms:
Tl (0.504, 0.496, 0.750)
Tl (0.496, 0.504, 0.250)
Sn (0.000, 0.000, 0.000)
Sn (0.000, 0.000, 0.500)
F (0.282, 0.198, 0.997)
F (0.274, 0.817, 0.560)
F (0.198, 0.282, 0.497)
F (0.930, 0.070, 0.750)
F (0.183, 0.726, 0.940)
F (0.817, 0.274, 0.060)
F (0.070, 0.930, 0.250)
F (0.802, 0.718, 0.503)
F (0.726, 0.183, 0.440)
F (0.718, 0.802, 0.003)

Output
For the spin magnetization, the calculation gives 0.000 μB per cell. As for the calculated total energy: -64.3 eV for the cell shown. As for the space group: C2/c, No. 15. The energy relative to the elements, uncorrected is -54.04 kcal/mol of atoms.

***

TlIrRh2: optimized geometry, GGA-PBE.

abc: 3.956 3.956 9.609
angles: 78.12 78.12 90.00
Fractional coordinates of all 8 atoms:
Tl (0.000, 0.000, 0.000)
Tl (0.750, 0.250, 0.500)
Ir (0.500, 0.500, 0.000)
Ir (0.250, 0.750, 0.500)
Rh (0.585, 0.125, 0.250)
Rh (0.165, 0.625, 0.250)
Rh (0.375, 0.415, 0.750)
Rh (0.875, 0.835, 0.750)

Output
As for the energy above the most stable polymorph in this dataset: 39.8 kJ/mol of atoms. For the spin magnetization, the calculation gives 0.000 μB per cell. As for the calculated total energy: -47.0 eV for the cell shown. As for the space group: I-42d, No. 122. As for the formation energy: 0.6117 eV per atom.

***

CoSb3As: optimized geometry, GGA-PBE.

abc: 4.931 4.931 4.931
angles: 90.00 90.00 90.00
Fractional coordinates of all 5 atoms:
Sb (0.000, 0.500, 0.000)
Sb (0.000, 0.000, 0.500)
Sb (0.500, 0.000, 0.000)
As (0.500, 0.500, 0.500)
Co (0.000, 0.000, 0.000)

Output
As for the energy above the most stable polymorph in this dataset: 0.0 kJ/mol of atoms. For the spin magnetization, the calculation gives 0.000 μB per cell. As for the calculated total energy: -22.1 eV for the cell shown. As for the space group: Pm-3m, No. 221. The energy relative to the elements, uncorrected is 9.21 kcal/mol of atoms.

***

Zr2AlSi: optimized geometry, GGA-PBE.

abc: 3.211 3.211 7.366
angles: 90.00 90.00 90.00
Fractional coordinates of all 4 atoms:
Si (0.500, 0.500, 0.719)
Al (0.000, 0.000, 0.537)
Zr (0.000, 0.000, 0.958)
Zr (0.500, 0.500, 0.287)

Output
As for the energy above the most stable polymorph in this dataset: 49.4 kJ/mol of atoms. For the spin magnetization, the calculation gives 0.000 μB per cell. As for the calculated total energy: -27.2 eV for the cell shown. As for the space group: P4mm, No. 99. The energy relative to the elements, uncorrected is -5.14 kcal/mol of atoms.

***

Ac4TcHg: optimized geometry, GGA-PBE.

abc: 6.780 8.406 8.406
angles: 111.43 100.08 100.08
Fractional coordinates of all 12 atoms:
Ac (0.893, 0.639, 0.795)
Ac (0.048, 0.938, 0.275)
Ac (0.607, 0.205, 0.361)
Ac (0.452, 0.725, 0.062)
Ac (0.548, 0.275, 0.938)
Ac (0.393, 0.795, 0.639)
Ac (0.952, 0.062, 0.725)
Ac (0.107, 0.361, 0.205)
Tc (0.250, 0.002, 0.998)
Tc (0.750, 0.998, 0.002)
Hg (0.750, 0.622, 0.378)
Hg (0.250, 0.378, 0.622)

Output
For the spin magnetization, the calculation gives 0.000 μB per cell. As for the calculated total energy: -55.7 eV for the cell shown. As for the space group: C2/c, No. 15. As for the formation energy: -0.1269 eV per atom.

***

Sm4CuRu2: optimized geometry, GGA-PBE.

abc: 8.937 7.696 7.809
angles: 122.09 108.88 106.25
Fractional coordinates of all 14 atoms:
Sm (0.941, 0.048, 0.206)
Sm (0.322, 0.629, 0.212)
Sm (0.946, 0.554, 0.707)
Sm (0.796, 0.190, 0.836)
Sm (0.445, 0.220, 0.317)
Sm (0.347, 0.121, 0.731)
Sm (0.426, 0.678, 0.819)
Sm (0.792, 0.703, 0.336)
Cu (0.071, 0.552, 0.389)
Cu (0.095, 0.076, 0.911)
Ru (0.670, 0.494, 0.838)
Ru (0.646, 0.003, 0.353)
Ru (0.672, 0.225, 0.140)
Ru (0.082, 0.258, 0.705)

Output
As for the energy above the most stable polymorph in this dataset: 4.5 kJ/mol of atoms. For the spin magnetization, the calculation gives 0.000 μB per cell. As for the calculated total energy: -85.6 eV for the cell shown. As for the space group: P1, No. 1. As for the formation energy: -0.1806 eV per atom.

***

TlHgPb3: optimized geometry, GGA-PBE.

abc: 5.798 5.798 5.798
angles: 90.00 90.00 90.00
Fractional coordinates of all 5 atoms:
Pb (0.000, 0.500, 0.000)
Pb (0.000, 0.000, 0.500)
Pb (0.500, 0.000, 0.000)
Tl (0.500, 0.500, 0.500)
Hg (0.000, 0.000, 0.000)

Output
As for the energy above the most stable polymorph in this dataset: 36.4 kJ/mol of atoms. For the spin magnetization, the calculation gives 0.000 μB per cell. As for the calculated total energy: -11.9 eV for the cell shown. As for the space group: Pm-3m, No. 221. As for the formation energy: 0.3813 eV per atom.

***

Mg2Al2Zn: optimized geometry, GGA-PBE.

abc: 3.735 3.735 8.031
angles: 76.55 76.55 90.00
Fractional coordinates of all 5 atoms:
Mg (0.402, 0.402, 0.195)
Mg (0.598, 0.598, 0.805)
Zn (0.000, 0.000, 0.000)
Al (0.750, 0.250, 0.500)
Al (0.250, 0.750, 0.500)

Output
As for the energy above the most stable polymorph in this dataset: 13.7 kJ/mol of atoms. For the spin magnetization, the calculation gives 0.000 μB per cell. As for the calculated total energy: -11.1 eV for the cell shown. As for the space group: I4/mmm, No. 139. As for the formation energy: 0.1644 eV per atom.

***

TbSmEr2Hg4: optimized geometry, GGA-PBE.

abc: 5.274 5.274 9.149
angles: 73.25 73.25 60.00
Fractional coordinates of all 8 atoms:
Tb (0.500, 0.500, 0.500)
Sm (0.000, 0.000, 0.000)
Er (0.750, 0.750, 0.749)
Er (0.250, 0.250, 0.251)
Hg (0.376, 0.376, 0.872)
Hg (0.874, 0.874, 0.378)
Hg (0.126, 0.126, 0.622)
Hg (0.624, 0.624, 0.128)

Output
For the spin magnetization, the calculation gives 0.541 μB per cell. As for the calculated total energy: -23.5 eV for the cell shown. As for the space group: R-3m, No. 166. As for the formation energy: -0.4745 eV per atom.

***

CsScTc2: optimized geometry, GGA-PBE.

abc: 4.804 4.804 4.804
angles: 60.00 60.00 60.00
Fractional coordinates of all 4 atoms:
Cs (0.500, 0.500, 0.500)
Sc (0.000, 0.000, 0.000)
Tc (0.250, 0.250, 0.250)
Tc (0.750, 0.750, 0.750)

Output
For the spin magnetization, the calculation gives 0.001 μB per cell. As for the calculated total energy: -22.0 eV for the cell shown. As for the space group: Fm-3m, No. 225. As for the formation energy: 1.4824 eV per atom.